PBE BeCuSb, optimized geometry; energy = -3.888 eV/atom; V = 52.51 Å³/f.u.; DOS at the Fermi energy = 0.86 states/eV/f.u.
1.0
4.0509 0.0000 0.0000
2.0169 3.5321 0.0000
0.0576 0.2180 7.3399
Be Cu Sb
2 2 2
direct
0.0712 0.3518 0.1429
0.9288 0.6482 0.8571
0.2579 0.9899 0.8862
0.7421 0.0101 0.1138
0.4147 0.6591 0.2985
0.5853 0.3409 0.7015